! GGA-PBE HoAsN2O, relaxed; values from VASP
&SYSTEM
  ibrav = 0, nat = 5, ntyp = 4
/
ATOMIC_SPECIES
As 74.92 As.upf
Ho 164.93 Ho.upf
N 14.01 N.upf
O 16.00 O.upf
ATOMIC_POSITIONS angstrom
As 1.362 -0.858 2.839
Ho -1.805 -1.324 2.929
N 2.233 -0.237 1.320
N 2.248 0.235 4.039
O -0.078 0.360 2.608
CELL_PARAMETERS angstrom
-1.900 -1.417 2.941
2.669 -2.652 0.446
1.914 2.316 2.320
! space group: Pm
! energy: -34.02 eV/cell
! magnetization: 0.00 μB/atom